Density functional theory data (PBE) for an optimized crystal structure of PtRh3Br.

abc: 4.542 4.542 4.542
angles: 90.00 90.00 90.00
Atoms (fractional coordinates):
Pt: 0.000 0.000 0.000
Rh: 0.000 0.500 0.500
Rh: 0.500 0.000 0.500
Rh: 0.500 0.500 0.000
Br: 0.500 0.500 0.500

Output
total magnetization	0.0	μB/f.u.
raw formation energy	115.83	kJ per mole of atoms
final energy	-23.77	eV per cell